# 1
Compound: Nd4SbOs
Source: the Alexandria database
Functional: PBE-GGA
Structure: optimized geometry

Values from the calculation:
Symmetry   C2/c
Uncorrected formation energy   -0.45 eV per atom

```
Nd4SbOs
1.0
-2.667 3.392 4.669
3.547 -6.998 3.667
5.503 5.273 -3.294
Nd Sb Os
8 2 2
Cartesian
6.216 1.059 0.990
0.424 3.526 2.030
0.167 0.609 4.051
2.325 0.553 0.904
5.363 3.227 -1.819
4.058 1.114 4.137
1.020 -1.560 6.860
5.960 -1.859 3.011
2.617 -1.769 3.222
3.766 3.437 1.819
-0.663 0.850 1.168
7.047 0.817 3.874
```

=====

# 2
Compound: LiSm3Ru2
Source: the Alexandria database
Functional: PBE-GGA
Structure: optimized geometry

Values from the calculation:
Energy of formation   -0.182 eV/atom
Symmetry   P4/mmm

```
LiSm3Ru2
1.0
-2.970 -1.421 1.072
1.184 -3.134 -0.873
4.523 -1.301 10.807
Sm Ru Li
3 2 1
Cartesian
0.000 0.000 0.000
3.195 -0.919 7.633
1.328 -0.382 3.174
2.923 -3.375 9.217
-0.186 -2.481 1.789
1.369 -2.928 5.503
```

=====

# 3
Compound: Y3Co6Si5
Source: the Alexandria database
Functional: PBE-GGA
Structure: optimized geometry

Values from the calculation:
Symmetry   Pmmn
Uncorrected formation energy   -0.71 eV per atom

```
Y3Co6Si5
1.0
-3.553 0.629 -1.318
0.041 -8.460 -4.148
-4.430 -4.763 9.670
Si Co Y
10 12 6
Cartesian
0.037 -7.573 -3.713
-3.438 -5.634 0.982
-0.512 -4.893 -0.954
-2.947 -10.439 2.964
-2.538 -1.738 0.415
-3.987 -2.954 3.741
-1.412 -8.789 -0.387
-4.505 -6.780 3.310
-5.433 -4.850 6.734
-3.876 -8.509 6.388
-4.706 -11.263 1.715
-3.064 -8.367 4.268
-2.194 -6.633 2.750
-3.674 -4.027 7.983
-1.776 0.167 -0.731
-2.633 -4.038 -0.426
-0.755 -0.889 1.612
-5.316 -6.923 5.430
-1.317 -6.488 0.454
-2.175 -10.694 0.759
-1.756 -3.894 -2.722
-3.195 -9.638 -1.584
-1.496 -3.780 2.230
-2.454 -6.747 -2.202
-3.961 -8.419 1.061
-2.913 -5.303 5.321
-5.468 -9.987 4.376
0.010 -2.108 -1.033
```

=====

# 4
Compound: Mg2ScBe2Pd5
Source: the Alexandria database
Functional: PBE-GGA
Structure: optimized geometry

Values from the calculation:
Energy of formation   -0.656 eV/atom
Symmetry   P4/mbm

```
Mg2ScBe2Pd5
1.0
3.347 0.000 0.000
0.000 9.511 0.000
0.000 0.000 9.511
Pd Mg Be Sc
10 4 4 2
Cartesian
1.673 2.722 5.472
1.673 4.039 2.722
1.673 0.717 7.478
1.673 7.478 8.794
1.673 4.755 0.000
1.673 8.794 2.033
1.673 6.788 4.039
1.673 2.033 0.717
1.673 5.472 6.788
1.673 0.000 4.755
0.000 6.410 1.655
0.000 1.655 3.101
0.000 3.101 7.856
0.000 7.856 6.410
0.000 3.603 1.152
0.000 1.152 5.908
0.000 8.359 3.603
0.000 5.908 8.359
0.000 0.000 0.000
0.000 4.755 4.755
```

=====

Here are the calculated electronic total energy numbers, same order: -37.1 -35.7 -99.1 -49.5 (eV per formula unit).
Here are the calculated total magnetic moment numbers, same order: 0.0 0.0 0.0 0.0 (Bohr magnetons per cell).